(1)
ScPdBr2 | PBE | relaxed

POSCAR file:
```
ScPdBr2
1.0
2.0538 0.0000 8.6056
-1.0269 1.7787 8.6056
-1.0269 -1.7787 8.6056
Br Sc Pd
2 1 1
Direct
0.9025 0.9025 0.9025
0.0975 0.0975 0.0975
0.5000 0.5000 0.5000
0.0000 0.0000 0.0000
```

Summary:
Energy above the most stable polymorph in this dataset = 0.00 eV/f.u.



(2)
ScPdBr3 | PBE | relaxed

POSCAR file:
```
ScPdBr3
1.0
5.1562 0.0000 0.0000
0.0000 5.1562 0.0000
0.0000 0.0000 5.1562
Sc Br Pd
1 3 1
Direct
0.5000 0.5000 0.5000
0.0000 0.5000 0.0000
0.0000 0.0000 0.5000
0.5000 0.0000 0.0000
0.0000 0.0000 0.0000
```

Summary:
Energy above the most stable polymorph in this dataset = 2.11 eV/f.u.



(3)
ScPd3Br | PBE | relaxed

POSCAR file:
```
ScPd3Br
1.0
4.7647 0.0000 0.0000
0.0000 4.7647 0.0000
0.0000 0.0000 4.7647
Sc Pd Br
1 3 1
Direct
0.5000 0.5000 0.5000
0.0000 0.0000 0.5000
0.0000 0.5000 0.0000
0.5000 0.0000 0.0000
0.0000 0.0000 0.0000
```

Summary:
Energy above the most stable polymorph in this dataset = 0.00 eV/f.u.



(4)
ScPd3Br | PBE | relaxed

POSCAR file:
```
ScPd3Br
1.0
4.8874 0.0000 0.0000
0.0000 4.8874 0.0000
0.0000 0.0000 4.8874
Pd Br Sc
3 1 1
Direct
0.0000 0.5000 0.0000
0.0000 0.0000 0.5000
0.5000 0.0000 0.0000
0.5000 0.5000 0.5000
0.0000 0.0000 0.0000
```

Summary:
Energy above the most stable polymorph in this dataset = 0.33 eV/f.u.



(5)
ScPdBr2 | PBE | relaxed

POSCAR file:
```
ScPdBr2
1.0
2.2948 -3.9104 -1.7672
-2.5099 -4.0455 -1.0076
-0.6934 -1.3446 -4.6251
Br Pd Sc
2 1 1
Direct
0.2500 0.2500 0.2500
0.7500 0.7500 0.7500
0.5000 0.5000 0.5000
0.0000 0.0000 0.0000
```

Summary:
Energy above the most stable polymorph in this dataset = 0.63 eV/f.u.



(6)
ScPdSeBr2 | PBE | relaxed

POSCAR file:
```
ScPdSeBr2
1.0
-3.2715 1.2956 -3.5492
-3.5883 -2.5352 2.3821
-1.2238 4.2500 2.6795
Se Pd Sc Br
1 1 1 2
Direct
0.0000 0.0000 0.5000
0.0000 0.0000 0.0000
0.5000 0.5000 0.5000
0.0000 0.5000 0.0000
0.5000 0.0000 0.0000
```

Summary:
Energy above the most stable polymorph in this dataset = 1.27 eV/f.u.



(7)
ScPdSeBr2 | PBE | relaxed

POSCAR file:
```
ScPdSeBr2
1.0
5.2076 0.0000 0.0000
0.0000 5.2076 0.0000
0.0000 0.0000 5.2619
Br Se Sc Pd
2 1 1 1
Direct
0.0000 0.5000 0.0000
0.5000 0.0000 0.0000
0.0000 0.0000 0.5000
0.0000 0.0000 0.0000
0.5000 0.5000 0.5000
```

Summary:
Energy above the most stable polymorph in this dataset = 0.00 eV/f.u.



(8)
ScTa2PdBr | PBE | relaxed

POSCAR file:
```
ScTa2PdBr
1.0
-2.5827 3.1417 -2.7568
-3.7126 -0.3249 3.1079
1.8275 3.7632 2.5766
Ta Br Sc Pd
2 1 1 1
Direct
0.5000 0.0000 0.0000
0.0000 0.0000 0.5000
0.0000 0.5000 0.0000
0.0000 0.0000 0.0000
0.5000 0.5000 0.5000
```



no.,raw formation energy (meV per atom),uncorrected energy (eV/atom)
1,-691,-4.41
2,-225,-3.53
3,309,-4.41
4,375,-4.34
5,-532,-4.25
6,-219,-3.89
7,-474,-4.14
8,1690,-5.69